First-principles (PBE+U) data for a relaxed structure of Tl2V2O5, as listed in Alexandria via LeMat-Bulk.

- Total moment: 2.0 μB per cell
- VASP energy: -58.5 eV/cell
- Density: 6.5 g/cm³

CIF file:
```
data_Tl2V2O5
_cell_length_a 3.9121
_cell_length_b 5.9162
_cell_length_c 6.9836
_cell_angle_alpha 100.33
_cell_angle_beta 90.00
_cell_angle_gamma 109.31
_space_group_name_H-M_alt 'P 1'
_space_group_IT_number 1
loop_
_space_group_symop_operation_xyz
'x,y,z'
loop_
_atom_site_label
_atom_site_type_symbol
_atom_site_fract_x
_atom_site_fract_y
_atom_site_fract_z
V1 V 0.8499 0.6997 0.0961
V2 V 0.1501 0.3003 0.9039
O1 O 0.0000 0.0000 0.0000
O2 O 0.8644 0.7288 0.3431
O3 O 0.6780 0.3560 0.9711
O4 O 0.3220 0.6440 0.0289
O5 O 0.1356 0.2712 0.6569
Tl1 Tl 0.5968 0.1937 0.3317
Tl2 Tl 0.4032 0.8063 0.6683
```